1.
First-principles (PBE) data for a relaxed ThSbS2 crystal, as listed in Alexandria via LeMat-Bulk.

Cell and atoms, written as CIF:
```
data_ThSbS2
_chemical_formula_sum 'Th1 Sb1 S2'
_symmetry_space_group_name_H-M 'P 1'
_symmetry_Int_Tables_number 1
_symmetry_space_group_name_Hall 'P 1'
_cell_length_a 3.8133
_cell_length_b 3.8133
_cell_length_c 9.1079
_cell_angle_alpha 77.92
_cell_angle_beta 77.92
_cell_angle_gamma 60.00
loop_
_atom_site_label
_atom_site_fract_x
_atom_site_fract_y
_atom_site_fract_z
Th1 0.0000 0.0000 0.0000
S1 0.1045 0.1045 0.6866
S2 0.8955 0.8955 0.3134
Sb1 0.5000 0.5000 0.5000
```

Calculated values
E_form (uncorrected): -0.28 eV per atom
DOS(E_F): 0.857 states/eV per atom
DFT total energy: -5.23 eV/atom
Crystal system: trigonal
Total magnetization: 0.0 μB/f.u.
SG: R-3m (166)

2.
First-principles (PBE) data for a relaxed ThSbS crystal, as listed in Alexandria via LeMat-Bulk.

Cell and atoms, written as CIF:
```
data_ThSbS
_chemical_formula_sum 'Th6 Sb6 S6'
_symmetry_space_group_name_H-M 'P 1'
_symmetry_Int_Tables_number 1
_symmetry_space_group_name_Hall 'P 1'
_cell_length_a 4.2288
_cell_length_b 7.6155
_cell_length_c 16.2759
_cell_angle_alpha 90.00
_cell_angle_beta 90.00
_cell_angle_gamma 90.00
loop_
_atom_site_label
_atom_site_fract_x
_atom_site_fract_y
_atom_site_fract_z
Th1 0.5000 0.8669 0.6166
Th2 0.5000 0.1331 0.3834
Th3 0.5000 0.8669 0.8834
Th4 0.0000 0.6157 0.2500
Th5 0.5000 0.1331 0.1166
Th6 0.0000 0.3843 0.7500
Sb1 0.0000 0.2036 0.2500
Sb2 0.0000 0.8272 0.4612
Sb3 0.0000 0.1728 0.9612
Sb4 0.0000 0.8272 0.0388
Sb5 0.0000 0.1728 0.5388
Sb6 0.0000 0.7964 0.7500
S1 0.5000 0.4985 0.1396
S2 0.5000 0.4985 0.3604
S3 0.5000 0.1244 0.7500
S4 0.5000 0.8756 0.2500
S5 0.5000 0.5015 0.6396
S6 0.5000 0.5015 0.8604
```

Calculated values
E_form (uncorrected): -1.14 eV per atom
DOS(E_F): 0.528 states/eV per atom
DFT total energy: -6.37 eV/atom
Crystal system: orthorhombic
Total magnetization: 0.0 μB/f.u.
SG: Pmma (51)

3.
First-principles (PBE) data for a relaxed Th3Sb2S crystal, as listed in Alexandria via LeMat-Bulk.

Cell and atoms, written as CIF:
```
data_Th3Sb2S
_chemical_formula_sum 'Th6 Sb4 S2'
_symmetry_space_group_name_H-M 'P 1'
_symmetry_Int_Tables_number 1
_symmetry_space_group_name_Hall 'P 1'
_cell_length_a 7.5300
_cell_length_b 7.5887
_cell_length_c 7.5125
_cell_angle_alpha 80.48
_cell_angle_beta 59.92
_cell_angle_gamma 70.74
loop_
_atom_site_label
_atom_site_fract_x
_atom_site_fract_y
_atom_site_fract_z
Th1 0.4316 0.7728 0.6451
Th2 0.9233 0.2272 0.6451
Th3 0.2852 0.2152 0.0000
Th4 0.5684 0.2272 0.3549
Th5 0.7148 0.7848 0.0000
Th6 0.0767 0.7728 0.3549
S1 0.6696 0.0000 0.6608
S2 0.3304 0.0000 0.3392
Sb1 0.1557 0.5000 0.6886
Sb2 0.8443 0.5000 0.3114
Sb3 0.5000 0.5000 0.0000
Sb4 0.0000 0.0000 0.0000
```

Calculated values
E_form (uncorrected): -1.18 eV per atom
DOS(E_F): 0.677 states/eV per atom
DFT total energy: -6.95 eV/atom
Crystal system: monoclinic
Total magnetization: 0.0 μB/f.u.
SG: C2/m (12)

4.
First-principles (PBE) data for a relaxed Th4Sb3S crystal, as listed in Alexandria via LeMat-Bulk.

Cell and atoms, written as CIF:
```
data_Th4Sb3S
_chemical_formula_sum 'Th4 Sb3 S1'
_symmetry_space_group_name_H-M 'P 1'
_symmetry_Int_Tables_number 1
_symmetry_space_group_name_Hall 'P 1'
_cell_length_a 4.3877
_cell_length_b 7.6327
_cell_length_c 7.6327
_cell_angle_alpha 109.39
_cell_angle_beta 90.00
_cell_angle_gamma 90.00
loop_
_atom_site_label
_atom_site_fract_x
_atom_site_fract_y
_atom_site_fract_z
Sb1 0.5000 0.5000 0.5000
Sb2 0.0000 0.0000 0.5000
Sb3 0.0000 0.5000 0.0000
Th1 0.0000 0.7765 0.7765
Th2 0.5000 0.7668 0.2332
Th3 0.5000 0.2332 0.7668
Th4 0.0000 0.2235 0.2235
S1 0.5000 0.0000 0.0000
```

Calculated values
E_form (uncorrected): -1.09 eV per atom
DOS(E_F): 0.760 states/eV per atom
DFT total energy: -6.86 eV/atom
Crystal system: orthorhombic
Total magnetization: 0.0 μB/f.u.
SG: Cmmm (65)

What is the formula in the fourth record?
Th4Sb3S

What is the DOS(E_F) in the second record?
0.528 states/eV per atom

The lowest DOS(E_F) belongs to which entry?
ThSbS

Among the records above, which one has the highest E_form (uncorrected)?
ThSbS2